No. 1
Density functional theory data (GGA-PBE) for crystalline Sn5As4Se at its relaxed geometry.

```
Sn5As4Se
1.0
6.7884 -2.0885 0.0000
6.7884 2.0885 0.0000
-5.0294 0.0000 8.7897
Sn As Se
5 4 1
direct
0.0000 0.0000 0.0000 Sn
0.2016 0.2016 0.8071 Sn
0.3935 0.3935 0.6034 Sn
0.6065 0.6065 0.3966 Sn
0.7984 0.7984 0.1929 Sn
0.2030 0.2030 0.2978 As
0.4035 0.4035 0.1047 As
0.5965 0.5965 0.8953 As
0.7970 0.7970 0.7022 As
0.0000 0.0000 0.5000 Se
```

Calculated values
E_tot in eV for the cell shown: -43.30
SG: C2/m, No. 12
Calculated density in g/cm3: 6.5
Energy relative to the elements, uncorrected in eV per atom: -0.12

---

No. 2
Density functional theory data (GGA-PBE) for crystalline Sn2As2Se at its relaxed geometry.

```
Sn2As2Se
1.0
-1.9532 1.9532 8.1478
1.9532 -1.9532 8.1478
1.9532 1.9532 -8.1478
Sn As Se
2 2 1
direct
0.1005 0.1005 0.0000 Sn
0.8995 0.8995 0.0000 Sn
0.2500 0.7500 0.5000 As
0.7500 0.2500 0.5000 As
0.5000 0.5000 0.0000 Se
```

Calculated values
E_tot in eV for the cell shown: -20.85
SG: I4/mmm, No. 139
E above lowest polymorph in kcal/mol of atoms: 0.000
Calculated density in g/cm3: 6.2
Energy relative to the elements, uncorrected in eV per atom: -0.01

---

No. 3
Density functional theory data (GGA-PBE) for crystalline Sn2AsSe4 at its relaxed geometry.

```
Sn2AsSe4
1.0
-2.5766 2.5766 7.1598
2.5766 -2.5766 7.1598
2.5766 2.5766 -7.1598
Sn As Se
2 1 4
direct
0.1290 0.1290 0.0000 Sn
0.8710 0.8710 0.0000 Sn
0.5000 0.5000 0.0000 As
0.0000 0.5000 0.5000 Se
0.3185 0.3185 0.0000 Se
0.5000 0.0000 0.5000 Se
0.6815 0.6815 0.0000 Se
```

Calculated values
E_tot in eV for the cell shown: -26.69
SG: I4/mmm, No. 139
E above lowest polymorph in kcal/mol of atoms: 5.376
Calculated density in g/cm3: 5.5
Energy relative to the elements, uncorrected in eV per atom: -0.01

---

No. 4
Density functional theory data (GGA-PBE) for crystalline Sn4AsSe7 at its relaxed geometry.

```
Sn4AsSe7
1.0
6.6376 -1.9987 0.0000
6.6376 1.9987 0.0000
-3.1465 0.0000 12.3980
Sn As Se
4 1 7
direct
0.0000 0.0000 0.0000 Sn
0.2467 0.2467 0.7604 Sn
0.5661 0.5661 0.3864 Sn
0.8979 0.8979 0.5540 Sn
0.7438 0.7438 0.1181 As
0.1512 0.1512 0.1968 Se
0.2493 0.2493 0.5302 Se
0.3605 0.3605 0.0301 Se
0.5474 0.5474 0.6012 Se
0.6252 0.6252 0.9368 Se
0.8976 0.8976 0.7727 Se
0.9119 0.9119 0.3475 Se
```

Calculated values
E_tot in eV for the cell shown: -48.72
SG: Cm, No. 8
Calculated density in g/cm3: 5.6
Energy relative to the elements, uncorrected in eV per atom: -0.31

---

No. 5
Density functional theory data (GGA-PBE) for crystalline Tb4SnAs2Se at its relaxed geometry.

```
Tb4SnAs2Se
1.0
7.3108 0.0000 0.0000
0.0000 4.1342 0.0000
-2.3703 0.0000 6.9390
Tb Sn As Se
4 1 2 1
direct
0.2397 0.0000 0.2353 Tb
0.2533 0.5000 0.7627 Tb
0.7467 0.5000 0.2373 Tb
0.7603 0.0000 0.7647 Tb
0.5000 0.5000 0.5000 Sn
0.0000 0.5000 0.0000 As
0.5000 0.0000 0.0000 As
0.0000 0.0000 0.5000 Se
```

Calculated values
E_tot in eV for the cell shown: -46.49
SG: P2/m, No. 10
Calculated density in g/cm3: 7.8
Energy relative to the elements, uncorrected in eV per atom: -1.40

---

No. 6
Density functional theory data (GGA-PBE) for crystalline Tb4SnAsSe2 at its relaxed geometry.

```
Tb4SnAsSe2
1.0
7.2606 0.0000 0.0000
0.0000 4.1997 0.0000
-2.4318 0.0000 6.8777
Tb Sn As Se
4 1 1 2
direct
0.2431 0.0000 0.2413 Tb
0.2504 0.5000 0.7572 Tb
0.7496 0.5000 0.2428 Tb
0.7569 0.0000 0.7587 Tb
0.0000 0.0000 0.5000 Sn
0.0000 0.5000 0.0000 As
0.5000 0.0000 0.0000 Se
0.5000 0.5000 0.5000 Se
```

Calculated values
E_tot in eV for the cell shown: -45.92
SG: P2/m, No. 10
Calculated density in g/cm3: 7.8
Energy relative to the elements, uncorrected in eV per atom: -1.47

---

No. 7
Density functional theory data (GGA-PBE) for crystalline TcSnAs2Se at its relaxed geometry.

```
TcSnAs2Se
1.0
4.6837 0.0000 0.0000
0.0000 4.6837 0.0000
0.0000 0.0000 5.6066
Tc Sn As Se
1 1 2 1
direct
0.0000 0.0000 0.0000 Tc
0.5000 0.5000 0.5000 Sn
0.0000 0.5000 0.0000 As
0.5000 0.0000 0.0000 As
0.0000 0.0000 0.5000 Se
```

Calculated values
E_tot in eV for the cell shown: -25.63
SG: P4/mmm, No. 123
E above lowest polymorph in kcal/mol of atoms: 0.000
Calculated density in g/cm3: 6.0
Energy relative to the elements, uncorrected in eV per atom: 0.30

---

No. 8
Density functional theory data (GGA-PBE) for crystalline Sn4Te2AsSe at its relaxed geometry.

```
Sn4Te2AsSe
1.0
7.5143 0.0000 0.0000
0.0000 4.3297 0.0000
-2.4895 0.0000 7.1328
Sn Te As Se
4 2 1 1
direct
0.2353 0.0000 0.2252 Sn
0.2516 0.5000 0.7697 Sn
0.7484 0.5000 0.2303 Sn
0.7647 0.0000 0.7748 Sn
0.0000 0.0000 0.5000 Te
0.5000 0.5000 0.5000 Te
0.0000 0.5000 0.0000 As
0.5000 0.0000 0.0000 Se
```

Calculated values
E_tot in eV for the cell shown: -32.37
SG: P2/m, No. 10
Calculated density in g/cm3: 6.3
Energy relative to the elements, uncorrected in eV per atom: -0.24

---

No. 9
Density functional theory data (GGA-PBE) for crystalline Sn6Te3AsSe2 at its relaxed geometry.

```
Sn6Te3AsSe2
1.0
3.7844 -6.5712 0.0000
3.7844 6.5712 0.0000
-2.5227 0.0000 7.0893
Sn Te As Se
6 3 1 2
direct
0.0762 0.3994 0.2277 Sn
0.2455 0.2455 0.7666 Sn
0.3994 0.0762 0.2277 Sn
0.6006 0.9238 0.7723 Sn
0.7545 0.7545 0.2334 Sn
0.9238 0.6006 0.7723 Sn
0.1668 0.8332 0.5000 Te
0.5000 0.5000 0.5000 Te
0.8332 0.1668 0.5000 Te
0.0000 0.0000 0.0000 As
0.3322 0.6678 0.0000 Se
0.6678 0.3322 0.0000 Se
```

Calculated values
E_tot in eV for the cell shown: -48.38
SG: C2/m, No. 12
Calculated density in g/cm3: 6.3
Energy relative to the elements, uncorrected in eV per atom: -0.28

---

No. 10
Density functional theory data (GGA-PBE) for crystalline SnTeAsSe2 at its relaxed geometry.

```
SnTeAsSe2
1.0
5.3553 0.0000 0.0000
0.0000 5.3553 0.0000
0.0000 0.0000 5.3028
Sn Te As Se
1 1 1 2
direct
0.0000 0.0000 0.0000 Sn
0.5000 0.5000 0.5000 Te
0.5000 0.5000 0.0000 As
0.0000 0.5000 0.5000 Se
0.5000 0.0000 0.5000 Se
```

Calculated values
E_tot in eV for the cell shown: -16.28
SG: P4/mmm, No. 123
E above lowest polymorph in kcal/mol of atoms: 0.000
Calculated density in g/cm3: 5.2
Energy relative to the elements, uncorrected in eV per atom: 0.50

---

No. 11
Density functional theory data (GGA-PBE) for crystalline Sn6Te3As2Se at its relaxed geometry.

```
Sn6Te3As2Se
1.0
9.5323 -2.1479 0.0000
9.5323 2.1479 0.0000
-2.0740 0.0000 8.4255
Sn Te As Se
6 3 2 1
direct
0.0084 0.0084 0.2440 Sn
0.3257 0.3257 0.4344 Sn
0.3335 0.3335 0.8992 Sn
0.6665 0.6665 0.1008 Sn
0.6743 0.6743 0.5656 Sn
0.9916 0.9916 0.7560 Sn
0.1659 0.1659 0.8332 Te
0.5000 0.5000 0.5000 Te
0.8341 0.8341 0.1668 Te
0.1669 0.1669 0.3348 As
0.8331 0.8331 0.6652 As
0.5000 0.5000 0.0000 Se
```

Calculated values
E_tot in eV for the cell shown: -48.69
SG: C2/m, No. 12
Calculated density in g/cm3: 6.4
Energy relative to the elements, uncorrected in eV per atom: -0.21

---

No. 12
Density functional theory data (GGA-PBE) for crystalline Th6SnAs3Se2 at its relaxed geometry.

```
Th6SnAs3Se2
1.0
9.3638 -2.1509 0.0000
9.3638 2.1509 0.0000
-2.0567 0.0000 8.3151
Th Sn As Se
6 1 3 2
direct
0.0001 0.0001 0.2364 Th
0.9999 0.9999 0.7636 Th
0.3281 0.3281 0.4208 Th
0.3353 0.3353 0.9132 Th
0.6647 0.6647 0.0868 Th
0.6719 0.6719 0.5792 Th
0.5000 0.5000 0.5000 Sn
0.1643 0.1643 0.3305 As
0.5000 0.5000 0.0000 As
0.8357 0.8357 0.6695 As
0.1681 0.1681 0.8335 Se
0.8319 0.8319 0.1665 Se
```

Calculated values
E_tot in eV for the cell shown: -84.92
SG: C2/m, No. 12
Calculated density in g/cm3: 9.4
Energy relative to the elements, uncorrected in eV per atom: -1.29

---

No. 13
Density functional theory data (GGA-PBE) for crystalline Th4SnAsSe2 at its relaxed geometry.

```
Th4SnAsSe2
1.0
7.3745 0.0000 0.0000
0.0000 4.3373 0.0000
-2.5557 0.0000 7.0728
Th Sn As Se
4 1 1 2
direct
0.2397 0.0000 0.2345 Th
0.2497 0.5000 0.7615 Th
0.7503 0.5000 0.2385 Th
0.7603 0.0000 0.7655 Th
0.5000 0.5000 0.5000 Sn
0.5000 0.0000 0.0000 As
0.0000 0.0000 0.5000 Se
0.0000 0.5000 0.0000 Se
```

Calculated values
E_tot in eV for the cell shown: -55.19
SG: P2/m, No. 10
Calculated density in g/cm3: 9.4
Energy relative to the elements, uncorrected in eV per atom: -1.24

---

No. 14
Density functional theory data (GGA-PBE) for crystalline Th4Sn2AsSe at its relaxed geometry.

```
Th4Sn2AsSe
1.0
7.5643 0.0000 0.0000
0.0000 4.4023 0.0000
-2.5604 0.0000 7.1787
Th Sn As Se
4 2 1 1
direct
0.2322 0.0000 0.2409 Th
0.2334 0.5000 0.7476 Th
0.7666 0.5000 0.2524 Th
0.7678 0.0000 0.7591 Th
0.5000 0.0000 0.0000 Sn
0.5000 0.5000 0.5000 Sn
0.0000 0.5000 0.0000 As
0.0000 0.0000 0.5000 Se
```

Calculated values
E_tot in eV for the cell shown: -53.57
SG: P2/m, No. 10
Calculated density in g/cm3: 9.2
Energy relative to the elements, uncorrected in eV per atom: -0.97

---

No. 15
Density functional theory data (GGA-PBE) for crystalline TiSnAsSe2 at its relaxed geometry.

```
TiSnAsSe2
1.0
4.9627 0.0000 0.0000
0.0000 4.9627 0.0000
0.0000 0.0000 4.9887
Ti Sn As Se
1 1 1 2
direct
0.0000 0.0000 0.0000 Ti
0.5000 0.5000 0.5000 Sn
0.0000 0.0000 0.5000 As
0.0000 0.5000 0.0000 Se
0.5000 0.0000 0.0000 Se
```

Calculated values
E_tot in eV for the cell shown: -24.86
SG: P4/mmm, No. 123
E above lowest polymorph in kcal/mol of atoms: 0.000
Calculated density in g/cm3: 5.4
Energy relative to the elements, uncorrected in eV per atom: -0.27

---

No. 16
Density functional theory data (GGA-PBE) for crystalline TiSnAsSe2 at its relaxed geometry.

```
TiSnAsSe2
1.0
5.2446 0.0000 0.0000
0.0000 5.2446 0.0000
0.0000 0.0000 5.1330
Ti Sn As Se
1 1 1 2
direct
0.0000 0.0000 0.0000 Ti
0.5000 0.5000 0.5000 Sn
0.5000 0.5000 0.0000 As
0.0000 0.5000 0.5000 Se
0.5000 0.0000 0.5000 Se
```

Calculated values
E_tot in eV for the cell shown: -20.35
SG: P4/mmm, No. 123
E above lowest polymorph in kcal/mol of atoms: 20.797
Calculated density in g/cm3: 4.7
Energy relative to the elements, uncorrected in eV per atom: 0.63

---

No. 17
Density functional theory data (GGA-PBE) for crystalline Tl2SnAsSe at its relaxed geometry.

```
Tl2SnAsSe
1.0
5.9439 0.0000 0.0000
0.0000 5.9439 0.0000
0.0000 0.0000 5.1037
Tl Sn As Se
2 1 1 1
direct
0.0000 0.5000 0.0000 Tl
0.5000 0.0000 0.0000 Tl
0.0000 0.0000 0.0000 Sn
0.0000 0.0000 0.5000 As
0.5000 0.5000 0.5000 Se
```

Calculated values
E_tot in eV for the cell shown: -14.58
SG: P4/mmm, No. 123
Calculated density in g/cm3: 6.3
Energy relative to the elements, uncorrected in eV per atom: 0.46

---

No. 18
Density functional theory data (GGA-PBE) for crystalline Tl2SnAsSe5 at its relaxed geometry.

```
Tl2SnAsSe5
1.0
1.9797 -9.7861 0.0000
1.9797 9.7861 0.0000
0.0000 0.0000 13.3034
Tl Sn As Se
4 2 2 10
direct
0.1230 0.8770 0.5000 Tl
0.1404 0.8596 0.1342 Tl
0.8596 0.1404 0.6342 Tl
0.8770 0.1230 0.0000 Tl
0.4480 0.5520 0.2498 Sn
0.5520 0.4480 0.7498 Sn
0.2090 0.7910 0.8446 As
0.7910 0.2090 0.3446 As
0.0346 0.9654 0.8743 Se
0.2871 0.7129 0.4787 Se
0.3229 0.6771 0.1912 Se
0.3307 0.6693 0.8084 Se
0.4772 0.5228 0.5950 Se
0.5228 0.4772 0.0950 Se
0.6693 0.3307 0.3084 Se
0.6771 0.3229 0.6912 Se
0.7129 0.2871 0.9787 Se
0.9654 0.0346 0.3743 Se
```

Calculated values
E_tot in eV for the cell shown: -66.28
SG: Cmc2_1, No. 36
Calculated density in g/cm3: 6.4
Energy relative to the elements, uncorrected in eV per atom: -0.26

---

No. 19
Density functional theory data (GGA-PBE) for crystalline TlSnAs2Se at its relaxed geometry.

```
TlSnAs2Se
1.0
5.3186 0.0000 0.0000
0.0000 5.3186 0.0000
0.0000 0.0000 5.4267
Tl Sn As Se
1 1 2 1
direct
0.0000 0.0000 0.0000 Tl
0.5000 0.5000 0.5000 Sn
0.0000 0.5000 0.5000 As
0.5000 0.0000 0.5000 As
0.5000 0.5000 0.0000 Se
```

Calculated values
E_tot in eV for the cell shown: -16.91
SG: P4/mmm, No. 123
E above lowest polymorph in kcal/mol of atoms: 0.000
Calculated density in g/cm3: 6.0
Energy relative to the elements, uncorrected in eV per atom: 0.45

---

No. 20
Density functional theory data (GGA-PBE) for crystalline VSnAsSe2 at its relaxed geometry.

```
VSnAsSe2
1.0
4.9121 0.0000 0.0000
0.0000 4.9121 0.0000
0.0000 0.0000 4.7855
V Sn As Se
1 1 1 2
direct
0.0000 0.0000 0.0000 V
0.5000 0.5000 0.5000 Sn
0.0000 0.0000 0.5000 As
0.0000 0.5000 0.0000 Se
0.5000 0.0000 0.0000 Se
```

Calculated values
E_tot in eV for the cell shown: -24.73
SG: P4/mmm, No. 123
E above lowest polymorph in kcal/mol of atoms: 0.000
Calculated density in g/cm3: 5.8
Energy relative to the elements, uncorrected in eV per atom: 0.00